Below is a relaxed Si2PbSe crystal, with properties calculated at the PBE level.

Properties
E: -4.001 eV per atom
Energy above the most stable polymorph in this dataset: 0.445 eV/atom
Formation energy without anion corrections: 0.508 eV per atom

Cell lengths 5.6978, 5.6978, 8.0368 Å; angles 69.24, 69.24, 90.00 degrees
Closest atoms and distances in Å follow each position.
Atoms (fractional coordinates):
Pb (0.7500, 0.2500, 0.5000)  4 Si 2.77
Pb (0.0000, 0.0000, 0.0000)  4 Si 2.77
Si (0.8750, 0.8399, 0.7500)  2 Se 2.56, 2 Pb 2.77
Si (0.3750, 0.4101, 0.7500)  2 Se 2.56, 2 Pb 2.77
Si (0.1601, 0.6250, 0.2500)  2 Se 2.56, 2 Pb 2.77
Si (0.5899, 0.1250, 0.2500)  2 Se 2.56, 2 Pb 2.77
Se (0.2500, 0.7500, 0.5000)  4 Si 2.56
Se (0.5000, 0.5000, 0.0000)  4 Si 2.56